PBrO2F after structural relaxation, computed with GGA-PBEsol.

Values from the calculation:
As for the symmetry: P4/mmm, No. 123.

Unit cell a=3.3474 b=3.3474 c=6.0522 alpha=90.00 beta=90.00 gamma=90.00
With the nearest neighbours (Å) after each atom.
Element x y z (fractional)
P1 0.0000 0.0000 0.0000  4 O 1.67
O1 0.0000 0.5000 0.0000  2 P 1.67
O2 0.5000 0.0000 0.0000  2 P 1.67
Br1 0.5000 0.5000 0.5000  4 F 2.37
F1 0.0000 0.0000 0.5000  4 Br 2.37

---

Sr10P6BrO24F after structural relaxation, computed with GGA-PBEsol.

Values from the calculation:
As for the symmetry: P3, No. 143.

Unit cell a=7.2396 b=9.8031 c=9.8031 alpha=120.00 beta=90.00 gamma=90.00
With the nearest neighbours (Å) after each atom.
Element x y z (fractional)
Sr1 0.4987 0.3333 0.6667  6 O 2.56-2.58
Sr2 0.0088 0.6667 0.3333  9 O 2.60-2.71
Sr3 0.5145 0.6667 0.3333  6 O 2.49-2.51
Sr4 0.9944 0.3333 0.6667  9 O 2.57-2.78
Sr5 0.2577 0.2582 0.9842  4 O 2.42-2.57
Sr6 0.2577 0.7259 0.7418  4 O 2.42-2.57
Sr7 0.2577 0.0158 0.2741  4 O 2.42-2.57
Sr8 0.7478 0.7640 0.0090  1 F 2.47, 5 O 2.48-2.71
Sr9 0.7478 0.2450 0.2360  1 F 2.47, 5 O 2.48-2.71
Sr10 0.7478 0.9910 0.7550  1 F 2.47, 5 O 2.48-2.71
P1 0.2488 0.9661 0.6014  4 O 1.55-1.56
P2 0.2488 0.6352 0.0339  4 O 1.55-1.56
P3 0.2488 0.3986 0.3648  4 O 1.55-1.56
P4 0.7517 0.0335 0.4073  4 O 1.55
P5 0.7517 0.3737 0.9665  4 O 1.55
P6 0.7517 0.5927 0.6263  4 O 1.55
Br1 0.0619 0.0000 0.0000  6 Sr 2.97-3.28, 1 F 3.02, 3 O 3.24
O1 0.4103 0.9250 0.6786  1 P 1.55
O2 0.4103 0.7536 0.0750  1 P 1.55
O3 0.4103 0.3214 0.2464  1 P 1.55
O4 0.9284 0.0910 0.3616  1 P 1.55
O5 0.9284 0.2706 0.9090  1 P 1.55
O6 0.9284 0.6384 0.7294  1 P 1.55
O7 0.5818 0.0883 0.3506  1 P 1.55
O8 0.5818 0.2623 0.9117  1 P 1.55
O9 0.5818 0.6494 0.7377  1 P 1.55
O10 0.0667 0.9039 0.6325  1 P 1.55
O11 0.0667 0.7286 0.0961  1 P 1.55
O12 0.0667 0.3675 0.2714  1 P 1.55
O13 0.2758 0.8768 0.4191  1 P 1.56
O14 0.2758 0.5423 0.1232  1 P 1.56
O15 0.2758 0.5809 0.4577  1 P 1.56
O16 0.7426 0.1179 0.5901  1 P 1.55
O17 0.7426 0.4722 0.8821  1 P 1.55
O18 0.7426 0.4099 0.5278  1 P 1.55
O19 0.2452 0.1469 0.6649  1 P 1.56
O20 0.2452 0.5180 0.8531  1 P 1.56
O21 0.2452 0.3351 0.4820  1 P 1.56
O22 0.7520 0.8519 0.3320  1 P 1.55
O23 0.7520 0.4802 0.1481  1 P 1.55
O24 0.7520 0.6680 0.5198  1 P 1.55
F1 0.6449 0.0000 0.0000  3 Sr 2.47

---

RuBrO2F after structural relaxation, computed with GGA-PBEsol.

Values from the calculation:
As for the symmetry: P4/mmm, No. 123.

Unit cell a=3.8201 b=3.8201 c=4.1306 alpha=90.00 beta=90.00 gamma=90.00
With the nearest neighbours (Å) after each atom.
Element x y z (fractional)
Ru1 0.0000 0.0000 0.0000  4 O 1.91, 2 F 2.07
O1 0.0000 0.5000 0.0000  2 Ru 1.91
O2 0.5000 0.0000 0.0000  2 Ru 1.91
Br1 0.5000 0.5000 0.5000  4 F 2.70, 8 O 2.81
F1 0.0000 0.0000 0.5000  2 Ru 2.07

---

Values for formation energy from raw total energies, kcal/mol of atoms, ordered as above
-12.72, -68.37, -10.38